Entry 1:
Computed, not measured: a relaxed Cr2FeHg crystal at the PBEsol level of DFT.

abc: 2.6131 4.6847 4.6847
angles: 113.55 90.00 90.00
Closest atoms and distances in Å follow each position.
Fractional positions:
1 Cr 0.0000 0.0000 0.5000  4 Cr 2.57-2.61, 4 Hg 2.68, 4 Fe 2.68
2 Cr 0.0000 0.5000 0.0000  4 Cr 2.57-2.61, 4 Fe 2.68, 4 Hg 2.68
3 Fe 0.5000 0.5000 0.5000  2 Hg 2.57, 2 Fe 2.61, 8 Cr 2.68
4 Hg 0.5000 0.0000 0.0000  2 Fe 2.57, 2 Hg 2.61, 8 Cr 2.68

Results
The value obtained for the density is 11.4 g cm⁻³. For the calculated volume, the calculation gives 13.143 Å³ per atom. Its formation energy is 2.65 eV/f.u.

Entry 2:
Computed, not measured: a relaxed MnTc2Br crystal at the PBEsol level of DFT.

abc: 2.9802 2.9802 6.3831
angles: 90.00 90.00 90.00
Closest atoms and distances in Å follow each position.
Fractional positions:
1 Br 0.5000 0.5000 0.0000  8 Tc 2.75, 4 Br 2.98
2 Mn 0.5000 0.5000 0.5000  8 Tc 2.54
3 Tc 0.0000 0.0000 0.7227  4 Mn 2.54, 4 Br 2.75, 1 Tc 2.84
4 Tc 0.0000 0.0000 0.2773  4 Mn 2.54, 4 Br 2.75, 1 Tc 2.84

Results
The value obtained for the density is 9.7 g cm⁻³. The formation energy without anion corrections is 0.519 eV per atom. The value obtained for the energy relative to the lowest polymorph listed for this composition is 48 meV per atom. For the calculated volume, the calculation gives 14.173 Å³ per atom.

Entry 3:
Computed, not measured: a relaxed Dy2MgTiO6 crystal at the PBEsol level of DFT.

abc: 5.2627 5.5776 7.5912
angles: 90.00 89.67 90.00
Closest atoms and distances in Å follow each position.
Fractional positions:
1 Dy 0.4810 0.0684 0.2481  5 O 2.21-2.46
2 Dy 0.5190 0.9316 0.7519  5 O 2.21-2.46
3 Dy 0.0190 0.5684 0.2519  5 O 2.21-2.46
4 Dy 0.9810 0.4316 0.7481  5 O 2.21-2.46
5 Mg 0.5000 0.5000 0.0000  6 O 2.06-2.07
6 Mg 0.0000 0.0000 0.5000  6 O 2.06-2.07
7 Ti 0.5000 0.5000 0.5000  6 O 1.95-1.98
8 Ti 0.0000 0.0000 0.0000  6 O 1.95-1.98
9 O 0.6153 0.4572 0.2566  1 Ti 1.96, 1 Mg 2.06
10 O 0.3847 0.5428 0.7434  1 Ti 1.96, 1 Mg 2.06
11 O 0.8847 0.9572 0.2434  1 Ti 1.96, 1 Mg 2.06
12 O 0.1153 0.0428 0.7566  1 Ti 1.96, 1 Mg 2.06
13 O 0.3151 0.7963 0.4375  1 Ti 1.98, 1 Mg 2.06
14 O 0.6849 0.2037 0.5625  1 Ti 1.98, 1 Mg 2.06
15 O 0.1849 0.2963 0.0625  1 Ti 1.98, 1 Mg 2.06
16 O 0.8151 0.7037 0.9375  1 Ti 1.98, 1 Mg 2.06
17 O 0.1998 0.3116 0.4438  1 Ti 1.95, 1 Mg 2.07
18 O 0.8002 0.6884 0.5562  1 Ti 1.95, 1 Mg 2.07
19 O 0.3002 0.8116 0.0562  1 Ti 1.95, 1 Mg 2.07
20 O 0.6998 0.1884 0.9438  1 Ti 1.95, 1 Mg 2.07

Results
The value obtained for the density is 7.4 g cm⁻³. The formation energy without anion corrections is -3.349 eV per atom. For the calculated volume, the calculation gives 11.141 Å³ per atom.

Entry 4:
Computed, not measured: a relaxed BaCa2Sc crystal at the PBEsol level of DFT.

abc: 4.1881 5.9526 6.0032
angles: 90.00 90.00 90.00
Closest atoms and distances in Å follow each position.
Fractional positions:
1 Sc 0.5000 0.0000 0.5000  4 Ba 3.64, 4 Ca 3.66
2 Ca 0.0000 0.0000 0.0000  4 Ca 3.64, 4 Sc 3.66
3 Ca 0.5000 0.5000 0.0000  4 Ca 3.64, 4 Ba 3.66
4 Ba 0.0000 0.5000 0.5000  4 Sc 3.64, 4 Ca 3.66

Results
The value obtained for the density is 2.9 g cm⁻³. The value obtained for the energy relative to the lowest polymorph listed for this composition is 12 meV per atom. For the calculated volume, the calculation gives 37.415 Å³ per atom. Its formation energy is 1.02 eV/f.u.

Entry 5:
Computed, not measured: a relaxed MgSc2Zn2 crystal at the PBEsol level of DFT.

abc: 3.5733 7.3304 7.3304
angles: 90.00 90.00 90.00
Closest atoms and distances in Å follow each position.
Fractional positions:
1 Sc 0.5000 0.1663 0.6663  6 Zn 2.78-2.81
2 Sc 0.5000 0.6663 0.8337  6 Zn 2.78-2.81
3 Sc 0.5000 0.8337 0.3337  6 Zn 2.78-2.81
4 Sc 0.5000 0.3337 0.1663  6 Zn 2.78-2.81
5 Zn 0.0000 0.3724 0.8724  1 Zn 2.65, 6 Sc 2.78-2.81, 2 Mg 2.89
6 Zn 0.0000 0.8724 0.6276  1 Zn 2.65, 6 Sc 2.78-2.81, 2 Mg 2.89
7 Zn 0.0000 0.6276 0.1276  1 Zn 2.65, 6 Sc 2.78-2.81, 2 Mg 2.89
8 Zn 0.0000 0.1276 0.3724  1 Zn 2.65, 6 Sc 2.78-2.81, 2 Mg 2.89
9 Mg 0.0000 0.0000 0.0000  4 Zn 2.89
10 Mg 0.0000 0.5000 0.5000  4 Zn 2.89

Results
The value obtained for the density is 4.2 g cm⁻³. For the calculated volume, the calculation gives 19.201 Å³ per atom. Its formation energy is -1.45 eV/f.u.

Entry 6:
Computed, not measured: a relaxed YSn2Ir crystal at the PBEsol level of DFT.

abc: 4.8695 4.8695 4.8695
angles: 60.00 60.00 60.00
Closest atoms and distances in Å follow each position.
Fractional positions:
1 Y 0.0000 0.0000 0.0000  8 Sn 2.98
2 Ir 0.5000 0.5000 0.5000  8 Sn 2.98
3 Sn 0.2500 0.2500 0.2500  4 Y 2.98, 4 Ir 2.98
4 Sn 0.7500 0.7500 0.7500  4 Ir 2.98, 4 Y 2.98

Results
The value obtained for the density is 10.5 g cm⁻³. For the calculated volume, the calculation gives 20.411 Å³ per atom. Its formation energy is -1.19 eV/f.u.

Entry 7:
Computed, not measured: a relaxed BeAlMo4 crystal at the PBEsol level of DFT.

abc: 5.1161 5.1161 5.1161
angles: 60.00 60.00 60.00
Closest atoms and distances in Å follow each position.
Fractional positions:
1 Al 0.7500 0.7500 0.7500  12 Mo 3.00, 4 Be 3.13
2 Be 0.0000 0.0000 0.0000  12 Mo 3.00, 4 Al 3.13
3 Mo 0.3743 0.3743 0.3743  6 Mo 2.54-2.57
4 Mo 0.3743 0.3743 0.8770  6 Mo 2.54-2.57
5 Mo 0.8770 0.3743 0.3743  6 Mo 2.54-2.57
6 Mo 0.3743 0.8770 0.3743  6 Mo 2.54-2.57

Results
The value obtained for the density is 7.4 g cm⁻³. For the calculated volume, the calculation gives 15.782 Å³ per atom. Its formation energy is 3.38 eV/f.u.

Entry 8:
Computed, not measured: a relaxed Ta7Mo crystal at the PBEsol level of DFT.

abc: 3.2479 6.5339 7.2956
angles: 116.60 90.00 90.00
Closest atoms and distances in Å follow each position.
Fractional positions:
1 Mo 0.0000 0.0000 0.0000  8 Ta 2.77
2 Ta 0.5000 0.6352 0.7555  2 Mo 2.77, 6 Ta 2.83-2.85
3 Ta 0.0000 0.2540 0.5080  8 Ta 2.84-2.85
4 Ta 0.5000 0.8796 0.2445  2 Mo 2.77, 6 Ta 2.83-2.85
5 Ta 0.0000 0.5000 0.0000  8 Ta 2.83
6 Ta 0.5000 0.1204 0.7555  2 Mo 2.77, 6 Ta 2.83-2.85
7 Ta 0.0000 0.7460 0.4920  8 Ta 2.84-2.85
8 Ta 0.5000 0.3648 0.2445  2 Mo 2.77, 6 Ta 2.83-2.85

Results
The value obtained for the density is 16.3 g cm⁻³. The value obtained for the energy relative to the lowest polymorph listed for this composition is 0 meV per atom. For the calculated volume, the calculation gives 17.304 Å³ per atom. Its formation energy is -0.37 eV/f.u.

Entry 9:
Computed, not measured: a relaxed KTcAs2 crystal at the PBEsol level of DFT.

abc: 2.7813 5.2653 5.2653
angles: 90.00 90.00 90.00
Closest atoms and distances in Å follow each position.
Fractional positions:
1 As 0.0000 0.0000 0.5000  2 As 2.78, 4 K 2.98, 4 Tc 2.98
2 As 0.0000 0.5000 0.0000  2 As 2.78, 4 K 2.98, 4 Tc 2.98
3 K 0.5000 0.5000 0.5000  2 K 2.78, 8 As 2.98
4 Tc 0.5000 0.0000 0.0000  2 Tc 2.78, 8 As 2.98

Results
The value obtained for the density is 6.2 g cm⁻³. The value obtained for the energy relative to the lowest polymorph listed for this composition is 522 meV per atom. For the calculated volume, the calculation gives 19.277 Å³ per atom. Its formation energy is 2.77 eV/f.u.

Entry 10:
Computed, not measured: a relaxed MgZrSc2 crystal at the PBEsol level of DFT.

abc: 3.1947 3.1947 10.5508
angles: 81.29 81.29 60.00
Closest atoms and distances in Å follow each position.
Fractional positions:
1 Sc 0.2473 0.2473 0.2580  3 Zr 3.12, 6 Sc 3.19, 3 Mg 3.25
2 Sc 0.7527 0.7527 0.7420  3 Zr 3.12, 6 Sc 3.19, 3 Mg 3.25
3 Mg 0.0000 0.0000 0.0000  6 Mg 3.19, 6 Sc 3.25
4 Zr 0.5000 0.5000 0.5000  6 Sc 3.12, 6 Zr 3.19

Results
The value obtained for the density is 3.7 g cm⁻³. For the calculated volume, the calculation gives 22.955 Å³ per atom. Its formation energy is -0.03 eV/f.u.

Entry 11:
Computed, not measured: a relaxed Zn4Co crystal at the PBEsol level of DFT.

abc: 3.5821 4.5644 4.5644
angles: 81.14 66.90 66.90
Closest atoms and distances in Å follow each position.
Fractional positions:
1 Zn 0.3977 0.8114 0.3933  9 Zn 2.55-2.76, 3 Co 2.56-2.67
2 Zn 0.6023 0.1886 0.6067  9 Zn 2.55-2.76, 3 Co 2.56-2.67
3 Zn 0.7910 0.6067 0.8114  9 Zn 2.55-2.76, 3 Co 2.56-2.67
4 Zn 0.2090 0.3933 0.1886  9 Zn 2.55-2.76, 3 Co 2.56-2.67
5 Co 0.0000 0.0000 0.0000  12 Zn 2.56-2.67

Results
The value obtained for the density is 8.4 g cm⁻³. For the calculated volume, the calculation gives 12.628 Å³ per atom. Its formation energy is -0.24 eV/f.u.

Entry 12:
Computed, not measured: a relaxed Rb2PdCl4 crystal at the PBEsol level of DFT.

abc: 4.3091 7.1563 7.1563
angles: 90.00 90.00 90.00
Closest atoms and distances in Å follow each position.
Fractional positions:
1 Pd 0.0000 0.0000 0.0000  4 Cl 2.29
2 Rb 0.5000 0.5000 0.0000  8 Cl 3.33
3 Rb 0.5000 0.0000 0.5000  8 Cl 3.33
4 Cl 0.0000 0.2265 0.2265  1 Pd 2.29
5 Cl 0.0000 0.7735 0.7735  1 Pd 2.29
6 Cl 0.0000 0.2265 0.7735  1 Pd 2.29
7 Cl 0.0000 0.7735 0.2265  1 Pd 2.29

Results
The value obtained for the density is 3.2 g cm⁻³. The formation energy without anion corrections is -1.376 eV per atom. For the calculated volume, the calculation gives 31.526 Å³ per atom.

Entry 13:
Computed, not measured: a relaxed BaSnSe2Br crystal at the PBEsol level of DFT.

abc: 5.8628 5.8775 5.8775
angles: 90.00 90.00 90.00
Closest atoms and distances in Å follow each position.
Fractional positions:
1 Se 0.0000 0.0000 0.5000  2 Ba 2.94
2 Se 0.0000 0.5000 0.0000  2 Ba 2.94
3 Ba 0.0000 0.0000 0.0000  2 Br 2.93, 4 Se 2.94
4 Br 0.5000 0.0000 0.0000  2 Ba 2.93
5 Sn 0.5000 0.5000 0.5000  8 Se 4.15, 4 Br 4.16

Results
The value obtained for the density is 4.0 g cm⁻³. The formation energy without anion corrections is -0.112 eV per atom. For the calculated volume, the calculation gives 40.507 Å³ per atom.

Entry 14:
Computed, not measured: a relaxed CrSb2TePb crystal at the PBEsol level of DFT.

abc: 5.6276 5.6276 5.7869
angles: 90.00 90.00 90.00
Closest atoms and distances in Å follow each position.
Fractional positions:
1 Pb 0.0000 0.0000 0.0000  4 Sb 2.81, 2 Te 2.89
2 Sb 0.0000 0.5000 0.0000  2 Pb 2.81
3 Sb 0.5000 0.0000 0.0000  2 Pb 2.81
4 Te 0.0000 0.0000 0.5000  2 Pb 2.89
5 Cr 0.5000 0.5000 0.5000  4 Te 3.98, 8 Sb 4.04

Results
The value obtained for the density is 5.7 g cm⁻³. The formation energy without anion corrections is 1.311 eV per atom. For the calculated volume, the calculation gives 36.654 Å³ per atom.

Entry 15:
Computed, not measured: a relaxed HfAl3Ni12 crystal at the PBEsol level of DFT.

abc: 3.5710 3.5710 14.0951
angles: 90.00 90.00 90.00
Closest atoms and distances in Å follow each position.
Fractional positions:
1 Hf 0.0000 0.0000 0.0000  12 Ni 2.53-2.60
2 Al 0.0000 0.0000 0.2563  12 Ni 2.47-2.53
3 Al 0.0000 0.0000 0.5000  12 Ni 2.48-2.53
4 Al 0.0000 0.0000 0.7437  12 Ni 2.47-2.53
5 Ni 0.5000 0.5000 0.0000  4 Hf 2.53, 8 Ni 2.60
6 Ni 0.5000 0.5000 0.2556  8 Ni 2.48, 4 Al 2.53
7 Ni 0.5000 0.5000 0.5000  8 Ni 2.48, 4 Al 2.53
8 Ni 0.5000 0.5000 0.7444  8 Ni 2.48, 4 Al 2.53
9 Ni 0.5000 0.0000 0.1337  8 Ni 2.48-2.60, 2 Al 2.48, 2 Hf 2.60
10 Ni 0.5000 0.0000 0.3776  4 Al 2.47-2.48, 8 Ni 2.48-2.53
11 Ni 0.5000 0.0000 0.6224  4 Al 2.47-2.48, 8 Ni 2.48-2.53
12 Ni 0.5000 0.0000 0.8663  8 Ni 2.48-2.60, 2 Al 2.48, 2 Hf 2.60
13 Ni 0.0000 0.5000 0.1337  8 Ni 2.48-2.60, 2 Al 2.48, 2 Hf 2.60
14 Ni 0.0000 0.5000 0.3776  4 Al 2.47-2.48, 8 Ni 2.48-2.53
15 Ni 0.0000 0.5000 0.6224  4 Al 2.47-2.48, 8 Ni 2.48-2.53
16 Ni 0.0000 0.5000 0.8663  8 Ni 2.48-2.60, 2 Al 2.48, 2 Hf 2.60

Results
The value obtained for the density is 8.9 g cm⁻³. For the calculated volume, the calculation gives 11.234 Å³ per atom. Its formation energy is -7.56 eV/f.u.

Entry 16:
Computed, not measured: a relaxed TmScRu2 crystal at the PBEsol level of DFT.

abc: 4.5688 4.5688 4.5688
angles: 60.00 60.00 60.00
Closest atoms and distances in Å follow each position.
Fractional positions:
1 Sc 0.5000 0.5000 0.5000  8 Ru 2.80
2 Ru 0.2500 0.2500 0.2500  4 Tm 2.80, 4 Sc 2.80
3 Ru 0.7500 0.7500 0.7500  4 Sc 2.80, 4 Tm 2.80
4 Tm 0.0000 0.0000 0.0000  8 Ru 2.80

Results
The value obtained for the density is 10.2 g cm⁻³. For the calculated volume, the calculation gives 16.859 Å³ per atom. Its formation energy is -1.68 eV/f.u.

Entry 17:
Computed, not measured: a relaxed TaReAsN2 crystal at the PBEsol level of DFT.

abc: 3.9233 3.9233 5.3437
angles: 90.00 90.00 90.00
Closest atoms and distances in Å follow each position.
Fractional positions:
1 Re 0.5000 0.5000 0.5000  4 As 2.77
2 As 0.0000 0.0000 0.5000  2 Ta 2.67, 4 Re 2.77
3 N 0.0000 0.5000 0.0000  2 Ta 1.96
4 N 0.5000 0.0000 0.0000  2 Ta 1.96
5 Ta 0.0000 0.0000 0.0000  4 N 1.96

Results
The value obtained for the density is 9.5 g cm⁻³. The formation energy without anion corrections is 1.076 eV per atom. For the calculated volume, the calculation gives 16.451 Å³ per atom.

Entry 18:
Computed, not measured: a relaxed InBSb2Ru crystal at the PBEsol level of DFT.

abc: 4.2817 4.7557 4.7557
angles: 90.00 90.00 90.00
Closest atoms and distances in Å follow each position.
Fractional positions:
1 Sb 0.0000 0.0000 0.5000  2 B 2.38
2 Sb 0.0000 0.5000 0.0000  2 B 2.38
3 B 0.0000 0.0000 0.0000  2 In 2.14, 4 Sb 2.38
4 Ru 0.5000 0.5000 0.5000  8 Sb 3.20, 4 In 3.36
5 In 0.5000 0.0000 0.0000  2 B 2.14

Results
The value obtained for the density is 8.1 g cm⁻³. The formation energy without anion corrections is 1.058 eV per atom. For the calculated volume, the calculation gives 19.368 Å³ per atom.

Entry 19:
Computed, not measured: a relaxed KFe2Cu crystal at the PBEsol level of DFT.

abc: 3.1332 3.1332 7.4993
angles: 90.00 90.00 90.00
Closest atoms and distances in Å follow each position.
Fractional positions:
1 Cu 0.5000 0.5000 0.5000  8 Fe 2.47
2 Fe 0.0000 0.0000 0.6446  1 Fe 2.17
3 Fe 0.0000 0.0000 0.3554  1 Fe 2.17
4 K 0.5000 0.5000 0.0000  4 K 3.13, 8 Fe 3.47

Results
The value obtained for the density is 4.8 g cm⁻³. The value obtained for the energy relative to the lowest polymorph listed for this composition is 0 meV per atom. For the calculated volume, the calculation gives 18.404 Å³ per atom. Its formation energy is 3.51 eV/f.u.

Entry 20:
Computed, not measured: a relaxed Li2PS crystal at the PBEsol level of DFT.

abc: 4.3072 4.3072 4.3072
angles: 60.00 60.00 60.00
Closest atoms and distances in Å follow each position.
Fractional positions:
1 P 0.0000 0.0000 0.0000  8 Li 2.64
2 S 0.5000 0.5000 0.5000  8 Li 2.64
3 Li 0.2500 0.2500 0.2500  4 P 2.64, 4 S 2.64
4 Li 0.7500 0.7500 0.7500  4 S 2.64, 4 P 2.64

Results
The value obtained for the density is 2.3 g cm⁻³. The formation energy without anion corrections is -0.351 eV per atom. For the calculated volume, the calculation gives 14.126 Å³ per atom.